Material: CoCuBW
Method: DFT, PBE-GGA
State: relaxed

```
4
Lattice="0.746 -3.738 1.138 1.759 -0.701 3.498 -2.076 -1.624 2.979" Properties=species:S:1:pos:R:3 pbc="T T T"
B 0.000 0.000 0.000
Co 0.215 -3.031 3.808
Cu 0.322 -4.547 5.712
W 0.107 -1.516 1.904
```

Calculated values
The energy relative to the lowest polymorph listed for this composition comes out at 0.000 eV per formula unit. The calculated density comes out at 11.8 g/cm3. Its volume is 44.5 Å³/cell.

---

Material: Tb3YPb2C2
Method: DFT, PBE-GGA
State: relaxed

```
8
Lattice="3.651 0.000 0.000 -1.826 3.162 0.000 0.000 0.000 16.215" Properties=species:S:1:pos:R:3 pbc="T T T"
Pb 0.000 0.000 4.054
Pb 1.826 1.054 12.163
Tb 1.826 1.054 1.340
Tb 0.000 0.000 9.450
Tb 1.826 1.054 6.764
C 0.000 2.108 0.000
C 0.000 2.108 8.108
Y 0.000 0.000 14.872
```

Calculated values
The calculated density comes out at 8.9 g/cm3. Its volume is 187.2 Å³/cell. The calculation puts the total energy at -6.256 eV per atom.

---

Material: GaCuW2
Method: DFT, PBE-GGA
State: relaxed

```
4
Lattice="0.000 3.110 3.110 3.110 0.000 3.110 3.110 3.110 0.000" Properties=species:S:1:pos:R:3 pbc="T T T"
W 0.000 0.000 0.000
W 4.665 4.665 4.665
Cu 1.555 1.555 1.555
Ga 3.110 3.110 3.110
```

Calculated values
The calculated density comes out at 13.8 g/cm3. Its volume is 60.1 Å³/cell. The calculation puts the total energy at -7.808 eV per atom.

---

Material: KSnAuS3
Method: DFT, PBE-GGA
State: relaxed

```
12
Lattice="9.327 0.000 0.000 0.000 3.943 0.000 -3.785 0.000 8.875" Properties=species:S:1:pos:R:3 pbc="T T T"
Au 8.042 0.986 0.472
Au -2.500 2.957 8.403
Sn 3.682 2.957 5.888
Sn 1.859 0.986 2.987
S 2.607 2.957 1.432
S 2.935 0.986 7.444
S 1.377 2.957 4.828
S -0.590 0.986 2.674
S 6.132 2.957 6.201
S 4.165 0.986 4.047
K -0.739 0.986 6.167
K 6.281 2.957 2.708
```

Calculated values
The energy relative to the lowest polymorph listed for this composition comes out at 0.000 eV per formula unit. The calculated density comes out at 4.6 g/cm3. Its volume is 326.4 Å³/cell.

---

Material: HoErH2I4
Method: DFT, PBE-GGA
State: relaxed

```
8
Lattice="-1.608 -3.114 1.859 3.048 1.934 1.644 -10.605 10.113 7.770" Properties=species:S:1:pos:R:3 pbc="T T T"
I -7.762 9.080 8.498
I -6.703 4.908 6.657
I 0.150 1.536 2.702
I -4.013 2.343 4.686
H -3.806 5.308 5.600
H -0.056 -1.431 1.787
Ho 0.000 0.000 0.000
Er -5.303 5.057 3.885
```

Calculated values
The calculated density comes out at 6.2 g/cm3. Its volume is 226.0 Å³/cell. The calculation puts the total energy at -3.926 eV per atom.

---

Material: Tb3Y2Sb2
Method: DFT, PBE-GGA
State: relaxed

```
7
Lattice="2.325 -12.038 0.000 2.325 12.038 0.000 0.000 0.000 3.992" Properties=species:S:1:pos:R:3 pbc="T T T"
Tb 2.325 -4.456 1.996
Tb 2.325 0.000 1.996
Tb 2.325 4.456 1.996
Sb 2.325 -7.252 0.000
Sb 2.325 7.252 0.000
Y 2.325 -10.262 0.000
Y 2.325 10.262 0.000
```

Calculated values
The calculated density comes out at 6.7 g/cm3. Its volume is 223.5 Å³/cell. The calculation puts the total energy at -5.401 eV per atom.

---

Material: SmTmO4
Method: DFT, PBE-GGA
State: relaxed

```
6
Lattice="3.392 -1.866 0.000 3.392 1.866 0.000 -0.709 0.000 6.133" Properties=species:S:1:pos:R:3 pbc="T T T"
O 0.285 0.000 2.781
O 5.759 0.000 3.485
O 3.790 0.000 5.180
O 2.298 0.000 0.824
Tm 1.605 0.000 4.725
Sm 4.489 0.000 1.405
```

Calculated values
The calculated density comes out at 8.2 g/cm3. Its volume is 77.6 Å³/cell. The calculation puts the total energy at -7.779 eV per atom.

---

Material: Y2NiPb6
Method: DFT, PBE-GGA
State: relaxed

```
9
Lattice="2.260 -11.662 0.000 2.260 11.662 0.000 0.000 0.000 4.645" Properties=species:S:1:pos:R:3 pbc="T T T"
Pb 2.260 1.667 0.000
Pb 2.260 -6.955 0.000
Pb 2.260 10.026 2.322
Pb 2.260 -1.667 0.000
Pb 2.260 6.955 0.000
Pb 2.260 -10.026 2.322
Y 2.260 -4.245 2.322
Y 2.260 4.245 2.322
Ni 0.000 0.000 0.000
```

Calculated values
The calculated density comes out at 10.0 g/cm3. Its volume is 244.8 Å³/cell. The calculation puts the total energy at -4.749 eV per atom.